4
Lattice="3.844 0.000 0.000 0.000 4.398 0.000 -1.922 0.000 5.452" Properties=species:S:1:pos:R:3 comment="Y2TeRu, relaxed, DFT GGA-PBEsol" formation_energy_uncorrected_ev_per_atom=-0.731 crystal_system=orthorhombic total_energy_ev_per_atom=-7.5664 m_tot_mub_per_atom=0.0000 space_group=Amm2 pbc="T T T"
Te 1.922 2.199 1.962
Y 0.000 2.199 4.321
Ru 1.922 0.000 3.771
Y 0.000 0.000 1.090

---

4
Lattice="3.353 0.000 0.000 0.000 3.353 0.000 0.000 0.000 8.269" Properties=species:S:1:pos:R:3 comment="Y2TeRu, relaxed, DFT GGA-PBEsol" formation_energy_uncorrected_ev_per_atom=-0.196 crystal_system=tetragonal total_energy_ev_per_atom=-7.0314 m_tot_mub_per_atom=0.0001 space_group=P4mm pbc="T T T"
Y 1.677 1.677 2.536
Ru 0.000 0.000 4.352
Te 1.677 1.677 5.825
Y 0.000 0.000 7.958

---

5
Lattice="-0.672 4.520 1.346 -4.834 -0.117 -2.022 -1.885 -1.651 4.603" Properties=species:S:1:pos:R:3 comment="Y2ZnTeRu, relaxed, DFT GGA-PBEsol" formation_energy_uncorrected_ev_per_atom=0.756 crystal_system=tetragonal total_energy_ev_per_atom=-5.0287 m_tot_mub_per_atom=0.2168 space_group=P4/mmm pbc="T T T"
Te -0.336 2.260 0.673
Y -0.943 -0.825 2.302
Zn 0.000 0.000 0.000
Y -2.417 -0.059 -1.011
Ru -3.696 1.376 1.963

---

5
Lattice="4.534 0.000 0.000 0.000 5.546 0.000 0.000 0.000 5.546" Properties=species:S:1:pos:R:3 comment="Y2ZrTeRu, relaxed, DFT GGA-PBEsol" formation_energy_uncorrected_ev_per_atom=0.550 crystal_system=tetragonal total_energy_ev_per_atom=-6.7365 m_tot_mub_per_atom=0.0544 space_group=P4/mmm pbc="T T T"
Zr 0.000 0.000 0.000
Y 0.000 0.000 2.773
Ru 2.267 0.000 0.000
Te 2.267 2.773 2.773
Y 0.000 2.773 0.000

---

4
Lattice="3.322 0.000 0.000 0.000 3.322 0.000 0.000 0.000 7.381" Properties=species:S:1:pos:R:3 comment="ZnTe2Ru, relaxed, DFT GGA-PBEsol" formation_energy_uncorrected_ev_per_atom=0.070 crystal_system=tetragonal total_energy_ev_per_atom=-4.6313 m_tot_mub_per_atom=0.1426 space_group=P4mm pbc="T T T"
Ru 1.661 1.661 5.304
Te 1.661 1.661 2.441
Zn 0.000 0.000 3.962
Te 0.000 0.000 6.746

---

4
Lattice="4.371 0.000 0.000 2.185 3.785 0.000 2.185 1.262 3.569" Properties=species:S:1:pos:R:3 comment="ZnTeRu2, relaxed, DFT GGA-PBEsol" polymorph_energy_ev_per_atom=0.0000 formation_energy_uncorrected_ev_per_atom=0.047 crystal_system=cubic total_energy_ev_per_atom=-6.3164 m_tot_mub_per_atom=0.0000 space_group=Fm-3m pbc="T T T"
Ru 2.185 1.262 0.892
Ru 6.556 3.785 2.676
Zn 4.371 2.523 1.784
Te 0.000 0.000 0.000